Computed, not measured: an optimized crystal structure of Rb2TePb2Se2 at the GGA-PBE level of DFT.

Summary:
calculated volume = 302.51 Å³ per cell
ΔE_f (raw) = -0.708 eV per atom
crystal system = triclinic
total energy = -24.42 eV/cell

Structure (POSCAR):
```
Rb2TePb2Se2
1.0
4.8045 0.0000 0.0000
-2.3944 7.7893 0.0000
-0.0009 -4.2439 8.0834
Rb Te Pb Se
2 1 2 2
Direct
0.0362 0.0731 0.2382 Rb
0.9638 0.9269 0.7618 Rb
0.5000 0.0000 0.5000 Te
0.2907 0.5817 0.1953 Pb
0.7093 0.4183 0.8047 Pb
0.3484 0.6970 0.9431 Se
0.6516 0.3030 0.0569 Se
```

Computed, not measured: an optimized crystal structure of RbTlPb2Se4 at the GGA-PBE level of DFT.

Summary:
calculated volume = 497.79 Å³ per cell
ΔE_f (raw) = -0.492 eV per atom
crystal system = monoclinic
total energy = -57.25 eV/cell

Structure (POSCAR):
```
RbTlPb2Se4
1.0
6.2916 -6.2893 0.0000
6.2916 6.2893 0.0000
-5.9834 0.0000 6.2901
Rb Tl Pb Se
2 2 4 8
Direct
0.0000 0.0000 0.0000 Rb
0.0000 0.0000 0.5000 Rb
0.0000 0.5000 0.0000 Tl
0.5000 0.0000 0.5000 Tl
0.0000 0.5000 0.5000 Pb
0.5000 0.0000 0.0000 Pb
0.5000 0.5000 0.0000 Pb
0.5000 0.5000 0.5000 Pb
0.2623 0.7382 0.5058 Se
0.2618 0.7377 0.9942 Se
0.2736 0.2797 0.5267 Se
0.2797 0.2736 0.0267 Se
0.7203 0.7264 0.9733 Se
0.7264 0.7203 0.4733 Se
0.7382 0.2623 0.0058 Se
0.7377 0.2618 0.4942 Se
```

Computed, not measured: an optimized crystal structure of Rb2TlPbSe4 at the GGA-PBE level of DFT.

Summary:
calculated volume = 519.26 Å³ per cell
ΔE_f (raw) = -0.559 eV per atom
crystal system = monoclinic
total energy = -52.85 eV/cell

Structure (POSCAR):
```
Rb2TlPbSe4
1.0
6.3685 -6.3836 0.0000
6.3685 6.3836 0.0000
-6.2465 0.0000 6.3863
Rb Tl Pb Se
4 2 2 8
Direct
0.0000 0.0000 0.0000 Rb
0.0000 0.0000 0.5000 Rb
0.0000 0.5000 0.0000 Rb
0.5000 0.0000 0.5000 Rb
0.5000 0.5000 0.0000 Tl
0.5000 0.5000 0.5000 Tl
0.0000 0.5000 0.5000 Pb
0.5000 0.0000 0.0000 Pb
0.2683 0.7322 0.5285 Se
0.2678 0.7317 0.9715 Se
0.2728 0.2998 0.5348 Se
0.2998 0.2728 0.0348 Se
0.7002 0.7272 0.9652 Se
0.7272 0.7002 0.4652 Se
0.7322 0.2683 0.0285 Se
0.7317 0.2678 0.4715 Se
```

Computed, not measured: an optimized crystal structure of RbTlPbSe3 at the GGA-PBE level of DFT.

Summary:
calculated volume = 423.80 Å³ per cell
ΔE_f (raw) = -0.559 eV per atom
crystal system = monoclinic
total energy = -41.69 eV/cell

Structure (POSCAR):
```
RbTlPbSe3
1.0
9.1612 0.0000 0.0000
0.0000 4.5474 0.0000
-2.9227 0.0000 10.1728
Rb Tl Pb Se
2 2 2 6
Direct
0.2446 0.2500 0.2470 Rb
0.7554 0.7500 0.7530 Rb
0.0998 0.2500 0.6441 Tl
0.9002 0.7500 0.3559 Tl
0.3292 0.7500 0.9009 Pb
0.6708 0.2500 0.0991 Pb
0.0630 0.2500 0.8808 Se
0.1995 0.7500 0.5385 Se
0.4917 0.7500 0.1727 Se
0.5083 0.2500 0.8273 Se
0.8005 0.2500 0.4615 Se
0.9370 0.7500 0.1192 Se
```

Computed, not measured: an optimized crystal structure of RbUPb2Se5 at the GGA-PBE level of DFT.

Summary:
calculated volume = 304.17 Å³ per cell
ΔE_f (raw) = -0.814 eV per atom
crystal system = orthorhombic
total energy = -44.42 eV/cell

Structure (POSCAR):
```
RbUPb2Se5
1.0
-2.6822 3.8584 7.3478
2.6822 -3.8584 7.3478
2.6822 3.8584 -7.3478
Rb U Pb Se
1 1 2 5
Direct
0.0000 0.0000 0.0000 Rb
0.5000 0.5000 0.0000 U
0.2902 0.7902 0.5000 Pb
0.7098 0.2098 0.5000 Pb
0.1227 0.3626 0.7601 Se
0.3975 0.6374 0.7601 Se
0.5000 0.0000 0.5000 Se
0.6025 0.3626 0.2399 Se
0.8773 0.6374 0.2399 Se
```

Computed, not measured: an optimized crystal structure of Rb2UPb2Se6 at the GGA-PBE level of DFT.

Summary:
calculated volume = 392.02 Å³ per cell
ΔE_f (raw) = -0.970 eV per atom
crystal system = monoclinic
total energy = -52.21 eV/cell

Structure (POSCAR):
```
Rb2UPb2Se6
1.0
3.8007 -6.4274 0.0000
3.8007 6.4274 0.0000
-2.6805 0.0000 8.0237
Rb U Pb Se
2 1 2 6
Direct
0.1767 0.8233 0.0000 Rb
0.8233 0.1767 0.0000 Rb
0.0000 0.0000 0.5000 U
0.3311 0.6689 0.5000 Pb
0.6689 0.3311 0.5000 Pb
0.0698 0.3686 0.6956 Se
0.2232 0.2232 0.3067 Se
0.3686 0.0698 0.6956 Se
0.6314 0.9302 0.3044 Se
0.7768 0.7768 0.6933 Se
0.9302 0.6314 0.3044 Se
```

Computed, not measured: an optimized crystal structure of Rb3UPb2Se6 at the GGA-PBE level of DFT.

Summary:
calculated volume = 400.83 Å³ per cell
ΔE_f (raw) = -1.054 eV per atom
crystal system = monoclinic
total energy = -55.16 eV/cell

Structure (POSCAR):
```
Rb3UPb2Se6
1.0
3.8381 -6.6364 0.0000
3.8381 6.6364 0.0000
-2.5571 0.0000 7.8683
Rb U Pb Se
3 1 2 6
Direct
0.0000 0.0000 0.0000 Rb
0.3249 0.6751 0.0000 Rb
0.6751 0.3249 0.0000 Rb
0.5000 0.5000 0.5000 U
0.1654 0.8346 0.5000 Pb
0.8346 0.1654 0.5000 Pb
0.1315 0.4341 0.3016 Se
0.2663 0.2663 0.7006 Se
0.4341 0.1315 0.3016 Se
0.5659 0.8685 0.6984 Se
0.7337 0.7337 0.2994 Se
0.8685 0.5659 0.6984 Se
```

Computed, not measured: an optimized crystal structure of RbVPbSe4 at the GGA-PBE level of DFT.

Summary:
calculated volume = 453.14 Å³ per cell
ΔE_f (raw) = -0.777 eV per atom
crystal system = monoclinic
total energy = -66.34 eV/cell

Structure (POSCAR):
```
RbVPbSe4
1.0
7.0653 0.0000 0.0000
0.0000 7.2080 0.0000
-2.7522 0.0000 8.8977
Rb V Pb Se
2 2 2 8
Direct
0.2319 0.2500 0.4301 Rb
0.7681 0.7500 0.5699 Rb
0.3000 0.7500 0.1837 V
0.7000 0.2500 0.8163 V
0.2480 0.2500 0.9355 Pb
0.7520 0.7500 0.0645 Pb
0.1032 0.7500 0.9407 Se
0.1073 0.7500 0.3442 Se
0.4918 0.5019 0.7815 Se
0.4918 0.9981 0.7815 Se
0.5082 0.0019 0.2185 Se
0.5082 0.4981 0.2185 Se
0.8927 0.2500 0.6558 Se
0.8968 0.2500 0.0593 Se
```

Computed, not measured: an optimized crystal structure of RbYPbSe3 at the GGA-PBE level of DFT.

Summary:
calculated volume = 406.37 Å³ per cell
ΔE_f (raw) = -1.308 eV per atom
crystal system = monoclinic
total energy = -58.88 eV/cell

Structure (POSCAR):
```
RbYPbSe3
1.0
8.3014 0.0000 0.0000
0.0000 4.2075 0.0000
-3.6384 0.0000 11.6343
Rb Y Pb Se
2 2 2 6
Direct
0.0781 0.2500 0.1670 Rb
0.9219 0.7500 0.8330 Rb
0.4327 0.7500 0.8467 Y
0.5673 0.2500 0.1533 Y
0.2794 0.2500 0.5438 Pb
0.7206 0.7500 0.4562 Pb
0.1408 0.7500 0.6416 Se
0.2814 0.2500 0.9479 Se
0.4233 0.7500 0.2602 Se
0.5767 0.2500 0.7398 Se
0.7186 0.7500 0.0521 Se
0.8592 0.2500 0.3584 Se
```

Computed, not measured: an optimized crystal structure of Rb3ZrPb2Se6 at the GGA-PBE level of DFT.

Summary:
calculated volume = 383.62 Å³ per cell
ΔE_f (raw) = -1.000 eV per atom
crystal system = monoclinic
total energy = -51.78 eV/cell

Structure (POSCAR):
```
Rb3ZrPb2Se6
1.0
3.7389 -6.4728 0.0000
3.7389 6.4728 0.0000
-2.4976 0.0000 7.9257
Rb Zr Pb Se
3 1 2 6
Direct
0.0000 0.0000 0.0000 Rb
0.3252 0.6748 0.0000 Rb
0.6748 0.3252 0.0000 Rb
0.5000 0.5000 0.5000 Zr
0.1655 0.8345 0.5000 Pb
0.8345 0.1655 0.5000 Pb
0.1318 0.4348 0.3041 Se
0.2650 0.2650 0.6986 Se
0.4348 0.1318 0.3041 Se
0.5652 0.8682 0.6959 Se
0.7350 0.7350 0.3014 Se
0.8682 0.5652 0.6959 Se
```